1.
Compound: K2NiW
Source: Alexandria via LeMat-Bulk
Functional: GGA-PBE
Structure: optimized geometry

abc: 11.6735 11.6735 11.6735
angles: 14.25 14.25 14.25
With the nearest neighbours (Å) after each atom.
Sites, in units of the cell vectors:
K  0.2430  0.2430  0.2430  6 K 2.90, 3 Ni 3.13
K  0.7570  0.7570  0.7570  6 K 2.90, 3 Ni 3.13
Ni  0.5000  0.5000  0.5000  6 Ni 2.90, 6 K 3.13
W  0.0000  0.0000  0.0000  6 W 2.90

## Properties
calculated density = 6.4 Mg/m³
space group = R-3m, No. 166
magnetic moment = 0.37 μB per cell
formation enthalpy at 0 K = 30.44 kcal/mol of atoms
E above lowest polymorph = 481 meV per atom

2.
Compound: Mg2BeB
Source: Alexandria via LeMat-Bulk
Functional: GGA-PBE
Structure: optimized geometry

abc: 4.2002 4.2002 4.2002
angles: 60.00 60.00 60.00
With the nearest neighbours (Å) after each atom.
Sites, in units of the cell vectors:
Mg  0.2500  0.2500  0.2500  4 Be 2.57, 4 B 2.57
Mg  0.7500  0.7500  0.7500  4 B 2.57, 4 Be 2.57
Be  0.0000  0.0000  0.0000  8 Mg 2.57
B  0.5000  0.5000  0.5000  8 Mg 2.57

## Properties
calculated density = 2.2 Mg/m³
space group = Fm-3m, No. 225
magnetic moment = 0.00 μB per cell
formation enthalpy at 0 K = 14.06 kcal/mol of atoms
E above lowest polymorph = 509 meV per atom

3.
Compound: Mg2InCl
Source: Alexandria via LeMat-Bulk
Functional: GGA-PBE
Structure: optimized geometry

abc: 5.9191 5.9191 5.9191
angles: 147.79 117.69 71.90
With the nearest neighbours (Å) after each atom.
Sites, in units of the cell vectors:
Mg  0.2260  0.2260  0.0000  2 Cl 2.72
Mg  0.7740  0.7740  0.0000  2 Cl 2.72
In  0.5000  0.0000  0.5000  4 Mg 3.10, 2 In 3.28
Cl  0.0000  0.5000  0.5000  4 Mg 2.72

## Properties
calculated density = 3.4 Mg/m³
space group = Immm, No. 71
uncorrected formation energy = -373.9 meV per atom
magnetic moment = 0.00 μB per cell
E above lowest polymorph = 184 meV per atom

4.
Compound: Ga3HSe
Source: Alexandria via LeMat-Bulk
Functional: GGA-PBE
Structure: optimized geometry

abc: 4.4966 4.4966 4.4966
angles: 90.00 90.00 90.00
With the nearest neighbours (Å) after each atom.
Sites, in units of the cell vectors:
Ga  0.0000  0.0000  0.5000  2 H 2.25
Ga  0.0000  0.5000  0.0000  2 H 2.25
Ga  0.5000  0.0000  0.0000  2 H 2.25
H  0.0000  0.0000  0.0000  6 Ga 2.25
Se  0.5000  0.5000  0.5000  12 Ga 3.18

## Properties
calculated density = 5.3 Mg/m³
space group = Pm-3m, No. 221
magnetic moment = 0.00 μB per cell
E above lowest polymorph = 0 meV per atom

Q: What is the E above lowest polymorph in the first record?
A: 481 meV per atom

Q: Which value of E above lowest polymorph does entry 4 give?
A: 0 meV per atom